No. 1
# Hf2Hg2Br

Hf2Hg2Br after structural relaxation (PBE, Alexandria).

Geometry as extended XYZ:
```
10
Lattice="7.137 0.000 0.000 0.000 7.137 0.000 0.000 0.000 4.444" Properties=species:S:1:pos:R:3 pbc="T T T"
Hf 1.076 2.492 0.000
Hf 2.492 6.061 0.000
Hf 4.645 1.076 0.000
Hf 6.061 4.645 0.000
Hg 1.089 4.657 2.222
Hg 2.480 1.089 2.222
Hg 4.657 6.048 2.222
Hg 6.048 2.480 2.222
Br 0.000 0.000 0.000
Br 3.568 3.568 0.000
```

Summary:
M_tot, Bohr magnetons per cell: 0.0
Raw formation energy, eV/atom: -0.105
N(E_F), states/eV/atom: 0.573

---

No. 2
# LiSb2W

LiSb2W after structural relaxation (PBE, Alexandria).

Geometry as extended XYZ:
```
4
Lattice="4.491 0.000 0.000 0.000 1.715 5.083 0.000 -1.715 5.083" Properties=species:S:1:pos:R:3 pbc="T T T"
Li 0.000 0.000 0.000
Sb 0.000 0.000 7.474
Sb 2.246 0.000 4.530
W 2.246 0.000 1.606
```

Summary:
Excess energy over the best structure of this formula in the dataset, eV per atom: 0.149
M_tot, Bohr magnetons per cell: 0.0
Raw formation energy, eV/atom: 0.235
N(E_F), states/eV/atom: 0.602